# 1
An optimized crystal structure of KSiBr. Source: Alexandria, functional PBE.

Cell and atoms, written as CIF:
```
data_KSiBr
_chemical_formula_sum 'K1 Si1 Br1'
_cell_length_a 6.521
_cell_length_b 6.521
_cell_length_c 6.521
_cell_angle_alpha 144.77
_cell_angle_beta 144.77
_cell_angle_gamma 50.68
_symmetry_space_group_name_H-M 'P 1'
_symmetry_Int_Tables_number 1
_symmetry_space_group_name_Hall 'P 1'
loop_
_atom_site_label
_atom_site_fract_x
_atom_site_fract_y
_atom_site_fract_z
_atom_site_occupancy
K1 0.000 0.000 0.000 1
Si1 0.717 0.717 0.000 1
Br1 0.279 0.279 0.000 1
```

Calculated total energy (eV per atom): -2.66
Crystal system: tetragonal
Polymorph energy (0 for the lowest one) (kcal/mol of atoms): 2.66


# 2
An optimized crystal structure of KSiBr2. Source: Alexandria, functional PBE.

Cell and atoms, written as CIF:
```
data_KSiBr2
_chemical_formula_sum 'K1 Si1 Br2'
_cell_length_a 3.814
_cell_length_b 5.614
_cell_length_c 5.673
_cell_angle_alpha 90.00
_cell_angle_beta 90.09
_cell_angle_gamma 90.00
_symmetry_space_group_name_H-M 'P 1'
_symmetry_Int_Tables_number 1
_symmetry_space_group_name_Hall 'P 1'
loop_
_atom_site_label
_atom_site_fract_x
_atom_site_fract_y
_atom_site_fract_z
_atom_site_occupancy
K1 0.000 0.000 0.000 1
Si1 0.503 0.500 0.487 1
Br1 0.499 0.500 0.051 1
Br2 0.501 0.000 0.504 1
```

Calculated total energy (eV per atom): -3.09
Fermi-level density of states (states/eV/f.u.): 0.892
Crystal system: monoclinic
Polymorph energy (0 for the lowest one) (kcal/mol of atoms): 0.00


# 3
An optimized crystal structure of KSiBr. Source: Alexandria, functional PBE.

Cell and atoms, written as CIF:
```
data_KSiBr
_chemical_formula_sum 'K1 Si1 Br1'
_cell_length_a 5.489
_cell_length_b 5.489
_cell_length_c 5.489
_cell_angle_alpha 60.00
_cell_angle_beta 60.00
_cell_angle_gamma 60.00
_symmetry_space_group_name_H-M 'P 1'
_symmetry_Int_Tables_number 1
_symmetry_space_group_name_Hall 'P 1'
loop_
_atom_site_label
_atom_site_fract_x
_atom_site_fract_y
_atom_site_fract_z
_atom_site_occupancy
K1 0.000 0.000 0.000 1
Si1 0.750 0.750 0.750 1
Br1 0.250 0.250 0.250 1
```

Calculated total energy (eV per atom): -2.38
Fermi-level density of states (states/eV/f.u.): 3.668
Crystal system: cubic
Polymorph energy (0 for the lowest one) (kcal/mol of atoms): 9.12


# 4
An optimized crystal structure of K2SiBr. Source: Alexandria, functional PBE.

Cell and atoms, written as CIF:
```
data_K2SiBr
_chemical_formula_sum 'K2 Si1 Br1'
_cell_length_a 5.732
_cell_length_b 6.709
_cell_length_c 6.709
_cell_angle_alpha 33.64
_cell_angle_beta 90.00
_cell_angle_gamma 90.00
_symmetry_space_group_name_H-M 'P 1'
_symmetry_Int_Tables_number 1
_symmetry_space_group_name_Hall 'P 1'
loop_
_atom_site_label
_atom_site_fract_x
_atom_site_fract_y
_atom_site_fract_z
_atom_site_occupancy
K1 0.000 0.000 0.000 1
K2 0.500 0.233 0.233 1
Si1 0.000 0.736 0.736 1
Br1 0.500 0.503 0.503 1
```

Calculated total energy (eV per atom): -2.61
Fermi-level density of states (states/eV/f.u.): 1.009
Crystal system: orthorhombic
Polymorph energy (0 for the lowest one) (kcal/mol of atoms): 2.64


# 5
An optimized crystal structure of KSi2Br8. Source: Alexandria, functional PBE.

Cell and atoms, written as CIF:
```
data_KSi2Br8
_chemical_formula_sum 'K1 Si2 Br8'
_cell_length_a 8.611
_cell_length_b 8.611
_cell_length_c 7.263
_cell_angle_alpha 102.22
_cell_angle_beta 102.22
_cell_angle_gamma 72.99
_symmetry_space_group_name_H-M 'P 1'
_symmetry_Int_Tables_number 1
_symmetry_space_group_name_Hall 'P 1'
loop_
_atom_site_label
_atom_site_fract_x
_atom_site_fract_y
_atom_site_fract_z
_atom_site_occupancy
K1 0.000 0.000 0.000 1
Si1 0.216 0.216 0.693 1
Si2 0.784 0.784 0.307 1
Br1 0.051 0.690 0.246 1
Br2 0.212 0.212 0.374 1
Br3 0.310 0.949 0.754 1
Br4 0.379 0.379 0.874 1
Br5 0.621 0.621 0.126 1
Br6 0.690 0.051 0.246 1
Br7 0.788 0.788 0.626 1
Br8 0.949 0.310 0.754 1
```

Calculated total energy (eV per atom): -3.10
Fermi-level density of states (states/eV/f.u.): 5.883
Crystal system: monoclinic


# 6
An optimized crystal structure of K2SiBr. Source: Alexandria, functional PBE.

Cell and atoms, written as CIF:
```
data_K2SiBr
_chemical_formula_sum 'K2 Si1 Br1'
_cell_length_a 9.786
_cell_length_b 9.786
_cell_length_c 9.786
_cell_angle_alpha 157.11
_cell_angle_beta 156.75
_cell_angle_gamma 32.85
_symmetry_space_group_name_H-M 'P 1'
_symmetry_Int_Tables_number 1
_symmetry_space_group_name_Hall 'P 1'
loop_
_atom_site_label
_atom_site_fract_x
_atom_site_fract_y
_atom_site_fract_z
_atom_site_occupancy
K1 0.000 0.000 0.000 1
K2 0.729 0.229 0.500 1
Si1 0.345 0.845 0.500 1
Br1 0.591 0.591 0.000 1
```

Calculated total energy (eV per atom): -2.66
Fermi-level density of states (states/eV/f.u.): 1.540
Crystal system: orthorhombic
Polymorph energy (0 for the lowest one) (kcal/mol of atoms): 1.62


# 7
An optimized crystal structure of K2SiBr. Source: Alexandria, functional PBE.

Cell and atoms, written as CIF:
```
data_K2SiBr
_chemical_formula_sum 'K4 Si2 Br2'
_cell_length_a 7.953
_cell_length_b 7.953
_cell_length_c 7.953
_cell_angle_alpha 113.18
_cell_angle_beta 113.18
_cell_angle_gamma 102.29
_symmetry_space_group_name_H-M 'P 1'
_symmetry_Int_Tables_number 1
_symmetry_space_group_name_Hall 'P 1'
loop_
_atom_site_label
_atom_site_fract_x
_atom_site_fract_y
_atom_site_fract_z
_atom_site_occupancy
K1 0.102 0.125 0.477 1
K2 0.375 0.898 0.023 1
K3 0.648 0.625 0.523 1
K4 0.875 0.352 0.977 1
Si1 0.250 0.750 0.500 1
Si2 0.500 0.500 0.000 1
Br1 0.000 0.000 0.000 1
Br2 0.750 0.250 0.500 1
```

Calculated total energy (eV per atom): -2.54
Fermi-level density of states (states/eV/f.u.): 0.000
Crystal system: tetragonal
Polymorph energy (0 for the lowest one) (kcal/mol of atoms): 4.38


# 8
An optimized crystal structure of KSiBr4. Source: Alexandria, functional PBE.

Cell and atoms, written as CIF:
```
data_KSiBr4
_chemical_formula_sum 'K1 Si1 Br4'
_cell_length_a 6.893
_cell_length_b 6.893
_cell_length_c 6.893
_cell_angle_alpha 105.72
_cell_angle_beta 105.72
_cell_angle_gamma 117.27
_symmetry_space_group_name_H-M 'P 1'
_symmetry_Int_Tables_number 1
_symmetry_space_group_name_Hall 'P 1'
loop_
_atom_site_label
_atom_site_fract_x
_atom_site_fract_y
_atom_site_fract_z
_atom_site_occupancy
K1 0.000 0.000 0.000 1
Si1 0.250 0.750 0.500 1
Br1 0.256 0.419 0.547 1
Br2 0.291 0.744 0.163 1
Br3 0.581 0.128 0.837 1
Br4 0.872 0.709 0.453 1
```

Calculated total energy (eV per atom): -3.05
Fermi-level density of states (states/eV/f.u.): 2.467
Crystal system: tetragonal
Polymorph energy (0 for the lowest one) (kcal/mol of atoms): 0.00


# 9
An optimized crystal structure of KSiBr4. Source: Alexandria, functional PBE.

Cell and atoms, written as CIF:
```
data_KSiBr4
_chemical_formula_sum 'K1 Si1 Br4'
_cell_length_a 6.494
_cell_length_b 6.494
_cell_length_c 6.494
_cell_angle_alpha 60.00
_cell_angle_beta 60.00
_cell_angle_gamma 60.00
_symmetry_space_group_name_H-M 'P 1'
_symmetry_Int_Tables_number 1
_symmetry_space_group_name_Hall 'P 1'
loop_
_atom_site_label
_atom_site_fract_x
_atom_site_fract_y
_atom_site_fract_z
_atom_site_occupancy
K1 0.000 0.000 0.000 1
Si1 0.750 0.750 0.750 1
Br1 0.376 0.376 0.376 1
Br2 0.376 0.376 0.873 1
Br3 0.376 0.873 0.376 1
Br4 0.873 0.376 0.376 1
```

Calculated total energy (eV per atom): -1.92
Fermi-level density of states (states/eV/f.u.): 7.029
Crystal system: cubic
Polymorph energy (0 for the lowest one) (kcal/mol of atoms): 26.07


# 10
An optimized crystal structure of KSiBr2. Source: Alexandria, functional PBE.

Cell and atoms, written as CIF:
```
data_KSiBr2
_chemical_formula_sum 'K1 Si1 Br2'
_cell_length_a 8.178
_cell_length_b 8.178
_cell_length_c 8.178
_cell_angle_alpha 149.75
_cell_angle_beta 149.75
_cell_angle_gamma 43.31
_symmetry_space_group_name_H-M 'P 1'
_symmetry_Int_Tables_number 1
_symmetry_space_group_name_Hall 'P 1'
loop_
_atom_site_label
_atom_site_fract_x
_atom_site_fract_y
_atom_site_fract_z
_atom_site_occupancy
K1 0.000 0.000 0.000 1
Si1 0.250 0.750 0.500 1
Br1 0.500 0.500 0.000 1
Br2 0.750 0.250 0.500 1
```

Calculated total energy (eV per atom): -2.81
Fermi-level density of states (states/eV/f.u.): 1.802
Crystal system: tetragonal
Polymorph energy (0 for the lowest one) (kcal/mol of atoms): 6.34


# 11
An optimized crystal structure of KSiBr2. Source: Alexandria, functional PBE.

Cell and atoms, written as CIF:
```
data_KSiBr2
_chemical_formula_sum 'K1 Si1 Br2'
_cell_length_a 5.405
_cell_length_b 5.405
_cell_length_c 5.405
_cell_angle_alpha 60.00
_cell_angle_beta 60.00
_cell_angle_gamma 60.00
_symmetry_space_group_name_H-M 'P 1'
_symmetry_Int_Tables_number 1
_symmetry_space_group_name_Hall 'P 1'
loop_
_atom_site_label
_atom_site_fract_x
_atom_site_fract_y
_atom_site_fract_z
_atom_site_occupancy
K1 0.000 0.000 0.000 1
Si1 0.500 0.500 0.500 1
Br1 0.250 0.250 0.250 1
Br2 0.750 0.750 0.750 1
```

Calculated total energy (eV per atom): -2.76
Fermi-level density of states (states/eV/f.u.): 2.932
Crystal system: cubic
Polymorph energy (0 for the lowest one) (kcal/mol of atoms): 7.66


# 12
An optimized crystal structure of K2SiBr. Source: Alexandria, functional PBE.

Cell and atoms, written as CIF:
```
data_K2SiBr
_chemical_formula_sum 'K2 Si1 Br1'
_cell_length_a 7.772
_cell_length_b 7.772
_cell_length_c 7.772
_cell_angle_alpha 144.35
_cell_angle_beta 144.35
_cell_angle_gamma 51.30
_symmetry_space_group_name_H-M 'P 1'
_symmetry_Int_Tables_number 1
_symmetry_space_group_name_Hall 'P 1'
loop_
_atom_site_label
_atom_site_fract_x
_atom_site_fract_y
_atom_site_fract_z
_atom_site_occupancy
K1 0.000 0.000 0.000 1
K2 0.750 0.250 0.500 1
Si1 0.250 0.750 0.500 1
Br1 0.500 0.500 0.000 1
```

Calculated total energy (eV per atom): -2.49
Fermi-level density of states (states/eV/f.u.): 2.352
Crystal system: tetragonal
Polymorph energy (0 for the lowest one) (kcal/mol of atoms): 5.43


These records have formation energy (no corrections) values of 0.21, -2.49, 1.05, -1.16, -8.81, -1.34, -0.86, -5.07, 1.71, -1.39, -1.16, -0.68 eV per formula unit, in the order they appear.